(1)
DyNi at its PBEsol-relaxed geometry. Source: Alexandria, functional meta-GGA SCAN.

Cell: 4.157 5.296 6.850 Å, 90.00 90.00 90.00°
Fractional coordinates of all 8 atoms:
Dy: 0.250 0.367 0.680
Dy: 0.750 0.867 0.820
Dy: 0.750 0.633 0.320
Dy: 0.250 0.133 0.180
Ni: 0.750 0.127 0.463
Ni: 0.250 0.873 0.537
Ni: 0.750 0.373 0.963
Ni: 0.250 0.627 0.037

Output
final energy: -32.444 eV per atom
space group: Pnma (62)
N(E_F): 0.61 states/eV/atom
E_form: -0.459 eV/atom


(2)
Dy3Ni2 at its PBEsol-relaxed geometry. Source: Alexandria, functional meta-GGA SCAN.

Cell: 3.588 6.779 9.351 Å, 104.93 90.00 105.35°
Fractional coordinates of all 10 atoms:
Ni: 0.465 0.930 0.855
Ni: 0.535 0.070 0.145
Ni: 0.256 0.513 0.773
Ni: 0.744 0.487 0.227
Dy: 0.144 0.289 0.368
Dy: 0.868 0.737 0.002
Dy: 0.403 0.806 0.327
Dy: 0.856 0.711 0.632
Dy: 0.597 0.194 0.673
Dy: 0.132 0.263 0.998

Output
final energy: -35.533 eV per atom
space group: C2/m (12)
N(E_F): 0.81 states/eV/atom
E_form: -0.386 eV/atom